Sc3Zn3Pd2 after structural relaxation, computed with PBE.

Output
The density of states at the Fermi level comes out at 0.520 states/eV/atom. As for the energy of formation: -0.58 eV/atom. For the total moment, the calculation gives 0.00 μB/f.u.

a = 6.987 Å, b = 6.987 Å, c = 3.475 Å
α = 90.00°, β = 90.00°, γ = 120.00°
Element x y z (fractional)
Sc: 0.000 0.594 0.000
Sc: 0.406 0.406 0.000
Sc: 0.594 0.000 0.000
Zn: 0.000 0.226 0.500
Zn: 0.226 0.000 0.500
Zn: 0.774 0.774 0.500
Pd: 0.333 0.667 0.500
Pd: 0.667 0.333 0.500

Li3Tb4Ir2 after structural relaxation, computed with PBE.

Output
The density of states at the Fermi level comes out at 0.571 states/eV/atom. As for the energy of formation: -0.43 eV/atom. For the total moment, the calculation gives 0.00 μB/f.u.

a = 4.814 Å, b = 4.814 Å, c = 9.901 Å
α = 90.00°, β = 90.00°, γ = 120.00°
Element x y z (fractional)
Li: 0.000 0.000 0.000
Li: 0.333 0.667 0.519
Li: 0.667 0.333 0.481
Tb: 0.000 0.000 0.311
Tb: 0.000 0.000 0.689
Tb: 0.333 0.667 0.112
Tb: 0.667 0.333 0.888
Ir: 0.333 0.667 0.805
Ir: 0.667 0.333 0.195

K2CeZn2S4 after structural relaxation, computed with PBE.

Output
The calculation puts the energy relative to the elements, uncorrected at -1119 meV per atom. The density of states at the Fermi level comes out at 0.932 states/eV/atom. For the total moment, the calculation gives 1.55 μB/f.u.

a = 7.890 Å, b = 7.890 Å, c = 7.827 Å
α = 110.00°, β = 110.00°, γ = 30.27°
Element x y z (fractional)
K: 0.127 0.127 0.057
K: 0.873 0.873 0.943
Ce: 0.000 0.000 0.500
Zn: 0.328 0.328 0.514
Zn: 0.672 0.672 0.486
S: 0.208 0.208 0.663
S: 0.478 0.478 0.743
S: 0.522 0.522 0.257
S: 0.792 0.792 0.337

What is the total moment in the second record?
0.00 μB/f.u.

Look up the total moment of the third one.
1.55 μB/f.u.

Number 1 is which compound?
Sc3Zn3Pd2